[1]
Material: BaPr2ZnO5
Method: DFT, PBE-GGA
State: relaxed

Uncorrected energy   -6.893 eV/atom
Magnetic moment   0.00 μB per formula unit

a = 6.797 Å, b = 6.797 Å, c = 11.611 Å
α = 90.00°, β = 90.00°, γ = 90.00°
Space group I4/mcm (No. 140)
Unique sites:
Ba  0.000  0.000  0.250 (multiplicity 4)
Pr  0.172  0.328  0.000 (multiplicity 8)
Zn  0.000  0.500  0.250 (multiplicity 4)
O  0.000  0.000  0.000 (multiplicity 4)
O  0.145  0.355  0.368 (multiplicity 16)



[2]
Material: ErCu
Method: DFT, PBE-GGA
State: relaxed

E_form   0.02 eV/atom
Magnetic moment   0.00 μB per formula unit

a = 3.4123 Å, b = 3.4123 Å, c = 4.1635 Å
α = 90.00°, β = 90.00°, γ = 120.00°
Space group P-6m2 (No. 187)
Unique sites:
Er  0.0000  0.0000  0.0000 (multiplicity 1)
Cu  0.3333  0.6667  0.5000 (multiplicity 1)



[3]
Material: LiYNp
Method: DFT, PBE-GGA
State: relaxed

Uncorrected energy   -6.045 eV/atom
Magnetic moment   6.31 μB per formula unit

a = 6.969 Å, b = 6.969 Å, c = 6.969 Å
α = 90.00°, β = 90.00°, γ = 90.00°
Space group F-43m (No. 216)
Unique sites:
Li  0.000  0.000  0.000 (multiplicity 4)
Y  0.250  0.250  0.250 (multiplicity 4)
Np  0.250  0.250  0.750 (multiplicity 4)



[4]
Material: Pm3DySi
Method: DFT, PBE-GGA
State: relaxed

Uncorrected energy   -4.814 eV/atom
Magnetic moment   0.24 μB per formula unit

a = 8.0315 Å, b = 8.0315 Å, c = 18.6683 Å
α = 90.00°, β = 90.00°, γ = 120.00°
Space group R-3c (No. 167, hexagonal axes)
Unique sites:
Pm  0.0000  0.4547  0.2500 (multiplicity 18)
Dy  0.0000  0.0000  0.2500 (multiplicity 6)
Si  0.0000  0.0000  0.0000 (multiplicity 6)



[5]
Material: YHo2Sc3P2Os
Method: DFT, PBE-GGA
State: relaxed

Uncorrected energy   -7.158 eV/atom
Magnetic moment   0.09 μB per formula unit

a = 4.061 Å, b = 12.810 Å, c = 7.416 Å
α = 90.00°, β = 90.00°, γ = 90.00°
Space group Amm2 (No. 38)
Unique sites:
Y  0.000  0.000  0.000 (multiplicity 2)
Ho  0.000  0.206  0.620 (multiplicity 4)
Sc  0.500  0.000  0.656 (multiplicity 2)
Sc  0.500  0.121  0.293 (multiplicity 4)
P  0.500  0.167  0.913 (multiplicity 4)
Os  0.000  0.000  0.417 (multiplicity 2)



[6]
Material: TaTcNO
Method: DFT, PBE-GGA
State: relaxed

Uncorrected energy   -9.892 eV/atom
Magnetic moment   0.00 μB per formula unit

a = 5.202 Å, b = 7.446 Å, c = 4.944 Å
α = 90.00°, β = 90.00°, γ = 90.00°
Space group Pca2_1 (No. 29)
Unique sites:
Ta  0.085  0.182  0.000 (multiplicity 4)
Tc  0.017  0.421  0.508 (multiplicity 4)
N  0.173  0.653  0.666 (multiplicity 4)
O  0.138  0.021  0.679 (multiplicity 4)



[7]
Material: NiCl2
Method: DFT, PBE-GGA
State: relaxed

Uncorrected energy   -3.531 eV/atom
Magnetic moment   1.93 μB per formula unit

a = 5.808 Å, b = 3.455 Å, c = 6.130 Å
α = 90.00°, β = 90.00°, γ = 90.00°
Space group Pmma (No. 51)
Unique sites:
Ni  0.000  0.000  0.000 (multiplicity 2)
Cl  0.250  0.000  0.285 (multiplicity 2)
Cl  0.250  0.500  0.825 (multiplicity 2)



[8]
Material: GaHg
Method: DFT, PBE-GGA
State: relaxed

Uncorrected energy   -1.560 eV/atom

a = 3.1910 Å, b = 3.1910 Å, c = 5.1397 Å
α = 90.00°, β = 90.00°, γ = 120.00°
Space group P-6m2 (No. 187)
Unique sites:
Ga  0.0000  0.0000  0.0000 (multiplicity 1)
Hg  0.6667  0.3333  0.5000 (multiplicity 1)



[9]
Material: BeBiW2
Method: DFT, PBE-GGA
State: relaxed

Uncorrected energy   -7.473 eV/atom
Magnetic moment   0.00 μB per formula unit

a = 6.481 Å, b = 6.481 Å, c = 6.481 Å
α = 90.00°, β = 90.00°, γ = 90.00°
Space group F-43m (No. 216)
Unique sites:
Be  0.000  0.000  0.000 (multiplicity 4)
Bi  0.250  0.250  0.750 (multiplicity 4)
W  0.000  0.000  0.500 (multiplicity 4)
W  0.250  0.250  0.250 (multiplicity 4)



[10]
Material: AcP2Ir3
Method: DFT, PBE-GGA
State: relaxed

Uncorrected energy   -6.698 eV/atom
Magnetic moment   0.01 μB per formula unit

a = 3.881 Å, b = 3.881 Å, c = 7.363 Å
α = 90.00°, β = 90.00°, γ = 90.00°
Space group P-4m2 (No. 115)
Unique sites:
Ac  0.000  0.000  0.000 (multiplicity 1)
P  0.000  0.500  0.636 (multiplicity 2)
Ir  0.000  0.500  0.323 (multiplicity 2)
Ir  0.500  0.500  0.000 (multiplicity 1)



[11]
Material: PuGaAg
Method: DFT, PBE-GGA
State: relaxed

Uncorrected energy   -6.305 eV/atom
Magnetic moment   6.07 μB per formula unit

a = 6.895 Å, b = 6.895 Å, c = 6.895 Å
α = 90.00°, β = 90.00°, γ = 90.00°
Space group F-43m (No. 216)
Unique sites:
Pu  0.000  0.000  0.000 (multiplicity 4)
Ga  0.250  0.250  0.750 (multiplicity 4)
Ag  0.250  0.250  0.250 (multiplicity 4)



[12]
Material: KZrHg3Te4
Method: DFT, PBE-GGA
State: relaxed

Uncorrected energy   -2.904 eV/atom
Magnetic moment   0.00 μB per formula unit

a = 7.429 Å, b = 7.429 Å, c = 7.429 Å
α = 90.00°, β = 90.00°, γ = 90.00°
Space group P-43m (No. 215)
Unique sites:
K  0.000  0.000  0.000 (multiplicity 1)
Zr  0.500  0.500  0.500 (multiplicity 1)
Hg  0.000  0.500  0.500 (multiplicity 3)
Te  0.284  0.284  0.284 (multiplicity 4)



[13]
Material: LaTlNiTe3
Method: DFT, PBE-GGA
State: relaxed

Uncorrected energy   -4.399 eV/atom
Magnetic moment   0.58 μB per formula unit

a = 4.241 Å, b = 15.663 Å, c = 11.810 Å
α = 90.00°, β = 90.00°, γ = 90.00°
Space group Cmcm (No. 63)
Unique sites:
La  0.000  0.000  0.000 (multiplicity 4)
Tl  0.000  0.255  0.250 (multiplicity 4)
Ni  0.000  0.474  0.750 (multiplicity 4)
Te  0.000  0.070  0.750 (multiplicity 4)
Te  0.000  0.363  0.589 (multiplicity 8)



[14]
Material: CdTcAs2
Method: DFT, PBE-GGA
State: relaxed

Uncorrected energy   -4.481 eV/atom
Magnetic moment   0.63 μB per formula unit

a = 6.569 Å, b = 6.569 Å, c = 6.569 Å
α = 90.00°, β = 90.00°, γ = 90.00°
Space group F-43m (No. 216)
Unique sites:
Cd  0.000  0.000  0.000 (multiplicity 4)
Tc  0.250  0.250  0.250 (multiplicity 4)
As  0.000  0.000  0.500 (multiplicity 4)
As  0.250  0.250  0.750 (multiplicity 4)



[15]
Material: Dy2TmLu4Ni2Te2
Method: DFT, PBE-GGA
State: relaxed

Uncorrected energy   -5.135 eV/atom
Magnetic moment   0.00 μB per formula unit

a = 3.810 Å, b = 15.333 Å, c = 9.455 Å
α = 90.00°, β = 90.00°, γ = 90.00°
Space group Imm2 (No. 44)
Unique sites:
Dy  0.000  0.185  0.000 (multiplicity 4)
Tm  0.000  0.500  0.624 (multiplicity 2)
Lu  0.000  0.146  0.352 (multiplicity 4)
Lu  0.000  0.365  0.205 (multiplicity 4)
Ni  0.000  0.263  0.694 (multiplicity 4)
Te  0.000  0.000  0.856 (multiplicity 2)
Te  0.000  0.500  0.963 (multiplicity 2)



[16]
Material: PrH3
Method: DFT, PBE-GGA
State: relaxed

Uncorrected energy   -4.228 eV/atom
Magnetic moment   0.00 μB per formula unit

a = 3.658 Å, b = 3.658 Å, c = 5.986 Å
α = 90.00°, β = 90.00°, γ = 90.00°
Space group I4/mmm (No. 139)
Unique sites:
Pr  0.000  0.000  0.000 (multiplicity 2)
H  0.000  0.000  0.500 (multiplicity 2)
H  0.000  0.500  0.250 (multiplicity 4)



[17]
Material: AgAsPO
Method: DFT, PBE-GGA
State: relaxed

Uncorrected energy   -4.237 eV/atom

a = 4.400 Å, b = 4.400 Å, c = 8.086 Å
α = 90.00°, β = 90.00°, γ = 90.00°
Space group P4/nmm (No. 129, origin choice 2)
Unique sites:
Ag  0.250  0.250  0.048 (multiplicity 2)
As  0.250  0.750  0.500 (multiplicity 2)
P  0.250  0.250  0.369 (multiplicity 2)
O  0.250  0.750  0.000 (multiplicity 2)



[18]
Material: Er5Fe2Te2
Method: DFT, PBE-GGA
State: relaxed

Uncorrected energy   -5.737 eV/atom
Magnetic moment   1.34 μB per formula unit

a = 3.901 Å, b = 14.878 Å, c = 15.117 Å
α = 90.00°, β = 90.00°, γ = 90.00°
Space group Cmcm (No. 63)
Unique sites:
Er  0.000  0.037  0.122 (multiplicity 8)
Er  0.000  0.258  0.630 (multiplicity 8)
Er  0.000  0.395  0.250 (multiplicity 4)
Fe  0.000  0.171  0.250 (multiplicity 4)
Fe  0.000  0.406  0.750 (multiplicity 4)
Te  0.000  0.382  0.038 (multiplicity 8)



[19]
Material: Co4Sb3As
Method: DFT, PBE-GGA
State: relaxed

Uncorrected energy   -5.845 eV/atom
Magnetic moment   0.01 μB per formula unit

a = 5.175 Å, b = 3.803 Å, c = 6.560 Å
α = 90.00°, β = 90.02°, γ = 90.00°
Space group Pm (No. 6)
Unique sites:
Co  0.000  0.000  0.000 (multiplicity 1)
Co  0.004  0.500  0.482 (multiplicity 1)
Co  0.483  0.500  0.477 (multiplicity 1)
Co  0.491  0.000  0.007 (multiplicity 1)
Sb  0.248  0.500  0.824 (multiplicity 1)
Sb  0.742  0.000  0.656 (multiplicity 1)
Sb  0.749  0.500  0.157 (multiplicity 1)
As  0.241  0.000  0.324 (multiplicity 1)



[20]
Material: BaCoSn
Method: DFT, PBE-GGA
State: relaxed

Uncorrected energy   -4.115 eV/atom
Magnetic moment   0.13 μB per formula unit

a = 6.935 Å, b = 6.935 Å, c = 6.935 Å
α = 90.00°, β = 90.00°, γ = 90.00°
Space group F-43m (No. 216)
Unique sites:
Ba  0.000  0.000  0.000 (multiplicity 4)
Co  0.250  0.250  0.250 (multiplicity 4)
Sn  0.000  0.000  0.500 (multiplicity 4)



[21]
Material: ErUOs
Method: DFT, PBE-GGA
State: relaxed

E_form   0.16 eV/atom
Magnetic moment   2.60 μB per formula unit

a = 6.645 Å, b = 6.645 Å, c = 6.645 Å
α = 90.00°, β = 90.00°, γ = 90.00°
Space group F-43m (No. 216)
Unique sites:
Er  0.000  0.000  0.000 (multiplicity 4)
U  0.000  0.000  0.500 (multiplicity 4)
Os  0.250  0.250  0.250 (multiplicity 4)



[22]
Material: LuGaW2
Method: DFT, PBE-GGA
State: relaxed

Uncorrected energy   -8.241 eV/atom
Magnetic moment   0.00 μB per formula unit

a = 6.551 Å, b = 6.551 Å, c = 6.551 Å
α = 90.00°, β = 90.00°, γ = 90.00°
Space group F-43m (No. 216)
Unique sites:
Lu  0.000  0.000  0.000 (multiplicity 4)
Ga  0.250  0.250  0.750 (multiplicity 4)
W  0.000  0.000  0.500 (multiplicity 4)
W  0.250  0.250  0.250 (multiplicity 4)



[23]
Material: InMoPd2
Method: DFT, PBE-GGA
State: relaxed

Uncorrected energy   -5.912 eV/atom
Magnetic moment   0.08 μB per formula unit

a = 6.414 Å, b = 6.414 Å, c = 6.414 Å
α = 90.00°, β = 90.00°, γ = 90.00°
Space group F-43m (No. 216)
Unique sites:
In  0.000  0.000  0.000 (multiplicity 4)
Mo  0.250  0.250  0.250 (multiplicity 4)
Pd  0.000  0.000  0.500 (multiplicity 4)
Pd  0.250  0.250  0.750 (multiplicity 4)



[24]
Material: HoMg
Method: DFT, PBE-GGA
State: relaxed

Uncorrected energy   -3.082 eV/atom
Magnetic moment   0.00 μB per formula unit

a = 7.152 Å, b = 5.348 Å, c = 8.664 Å
α = 90.00°, β = 101.80°, γ = 90.00°
Space group P2_1/m (No. 11)
Unique sites:
Ho  0.135  0.250  0.041 (multiplicity 2)
Ho  0.204  0.750  0.303 (multiplicity 2)
Ho  0.359  0.750  0.940 (multiplicity 2)
Mg  0.026  0.750  0.623 (multiplicity 2)
Mg  0.299  0.250  0.690 (multiplicity 2)
Mg  0.466  0.250  0.378 (multiplicity 2)



[25]
Material: LuCuTePbSe2
Method: DFT, PBE-GGA
State: relaxed

Uncorrected energy   -4.558 eV/atom
Magnetic moment   0.00 μB per formula unit

a = 4.075 Å, b = 13.945 Å, c = 10.957 Å
α = 90.00°, β = 90.00°, γ = 90.00°
Space group Cmcm (No. 63)
Unique sites:
Lu  0.000  0.000  0.000 (multiplicity 4)
Cu  0.000  0.468  0.250 (multiplicity 4)
Te  0.000  0.092  0.250 (multiplicity 4)
Pb  0.000  0.219  0.750 (multiplicity 4)
Se  0.000  0.368  0.064 (multiplicity 8)